Computed, not measured: PmDyBe after structural relaxation at the PBE level of DFT.

abc: 4.7804 4.7804 4.7804
angles: 60.00 60.00 60.00
With the nearest neighbours (Å) after each atom.
Positions (direct):
Be  0.2500  0.2500  0.2500  4 Dy 2.93
Dy  0.0000  0.0000  0.0000  4 Pm 2.93, 4 Be 2.93
Pm  0.7500  0.7500  0.7500  4 Dy 2.93

Its space group is F-43m (216).

Computed, not measured: HgTeAsO after structural relaxation at the PBE level of DFT.

abc: 6.0273 8.4236 7.8524
angles: 90.00 109.47 90.00
With the nearest neighbours (Å) after each atom.
Positions (direct):
As  0.5847  0.5108  0.1896  2 O 1.86-1.87
As  0.4153  0.0108  0.3104  2 O 1.86-1.87
As  0.5847  0.9892  0.6896  2 O 1.86-1.87
As  0.4153  0.4892  0.8104  2 O 1.86-1.87
Hg  0.0156  0.7557  0.0047  4 Te 2.99-3.07, 2 O 3.07-3.24
Hg  0.9844  0.2557  0.4953  4 Te 2.99-3.07, 2 O 3.07-3.24
Hg  0.0156  0.7443  0.5047  4 Te 2.99-3.07, 2 O 3.07-3.24
Hg  0.9844  0.2443  0.9953  4 Te 2.99-3.07, 2 O 3.07-3.24
O  0.5068  0.3544  0.0119  2 As 1.86-1.87
O  0.4932  0.8544  0.4881  2 As 1.86-1.87
O  0.5068  0.1456  0.5119  2 As 1.86-1.87
O  0.4932  0.6456  0.9881  2 As 1.86-1.87
Te  0.8373  0.9922  0.2187  1 As 2.87, 4 Hg 2.99-3.07
Te  0.1627  0.4922  0.2813  1 As 2.87, 4 Hg 2.99-3.07
Te  0.8373  0.5078  0.7187  1 As 2.87, 4 Hg 2.99-3.07
Te  0.1627  0.0078  0.7813  1 As 2.87, 4 Hg 2.99-3.07

Its space group is P2_1/c (14).

Computed, not measured: NaCoSiGe after structural relaxation at the PBE level of DFT.

abc: 4.4235 4.4235 4.4235
angles: 60.00 60.00 60.00
With the nearest neighbours (Å) after each atom.
Positions (direct):
Co  0.5000  0.5000  0.5000  4 Si 2.71, 4 Na 2.71
Ge  0.0000  0.0000  0.0000  4 Na 2.71, 4 Si 2.71
Na  0.7500  0.7500  0.7500  4 Ge 2.71, 4 Co 2.71
Si  0.2500  0.2500  0.2500  4 Co 2.71, 4 Ge 2.71

Its space group is F-43m (216).

Computed, not measured: AgSn after structural relaxation at the PBE level of DFT.

abc: 4.0731 4.0731 4.0731
angles: 60.00 60.00 60.00
With the nearest neighbours (Å) after each atom.
Positions (direct):
Ag  0.0000  0.0000  0.0000  6 Sn 2.88
Sn  0.5000  0.5000  0.5000  6 Ag 2.88

Its space group is Fm-3m (225).

Computed, not measured: Rb2CuAgBr4Cl2 after structural relaxation at the PBE level of DFT.

abc: 7.5962 7.5962 7.5962
angles: 121.31 121.31 87.74
With the nearest neighbours (Å) after each atom.
Positions (direct):
Ag  0.5000  0.5000  0.0000  2 Cl 2.41
Br  0.7728  0.2272  0.0000  1 Cu 2.39
Br  0.2272  0.7728  0.0000  1 Cu 2.39
Br  0.2272  0.2272  0.4543  1 Cu 2.39
Br  0.7728  0.7728  0.5457  1 Cu 2.39
Cl  0.2802  0.2802  0.0000  1 Ag 2.41
Cl  0.7198  0.7198  0.0000  1 Ag 2.41
Cu  0.0000  0.0000  0.0000  4 Br 2.39
Rb  0.7500  0.2500  0.5000  4 Cl 3.74, 8 Br 3.81
Rb  0.2500  0.7500  0.5000  4 Cl 3.74, 8 Br 3.81

Its space group is I4/mmm (139).

Computed, not measured: Y3Mg3Ga2Hg after structural relaxation at the PBE level of DFT.

abc: 7.3992 7.3992 4.4118
angles: 90.00 90.00 120.00
With the nearest neighbours (Å) after each atom.
Positions (direct):
Ga  0.6667  0.3333  0.5000  3 Mg 2.83, 6 Y 3.12
Ga  0.3333  0.6667  0.5000  3 Mg 2.83, 6 Y 3.12
Hg  0.0000  0.0000  0.0000  6 Mg 2.87, 3 Y 3.15
Mg  0.7516  0.0000  0.5000  2 Ga 2.83, 2 Hg 2.87
Mg  0.2484  0.2484  0.5000  2 Ga 2.83, 2 Hg 2.87
Mg  0.0000  0.7516  0.5000  2 Ga 2.83, 2 Hg 2.87
Y  0.4261  0.0000  0.0000  4 Ga 3.12, 1 Hg 3.15, 2 Mg 3.27
Y  0.0000  0.4261  0.0000  4 Ga 3.12, 1 Hg 3.15, 2 Mg 3.27
Y  0.5739  0.5739  0.0000  4 Ga 3.12, 1 Hg 3.15, 2 Mg 3.27

Its space group is P-62m (189).

Calculated uncorrected energy (eV per atom), listed in the same order as above: -3.50, -3.57, -4.14, -3.25, -2.83, -3.89